An optimized crystal structure of Sc2TlBi. Source: Alexandria, functional PBE.

abc: 3.859 3.859 6.668
angles: 90.00 90.00 90.00
Element x y z (fractional)
Sc  0.000  0.000  0.246
Sc  0.000  0.000  0.754
Tl  0.500  0.500  0.500
Bi  0.500  0.500  0.000

Output
* formation enthalpy at 0 K: -336 meV per atom
* total energy: -5.063 eV/atom
* magnetic moment: 0.7 μB/f.u.
* relative energy among the computed polymorphs: 0.0 meV/atom